Computed, not measured: a relaxed structure of AlHgSe2N at the PBE level of DFT.

Lattice parameters (Å, degrees): 5.304 5.304 3.519 90.00 90.00 90.00
Sites, in units of the cell vectors:
Al 0.000 0.000 0.000
Se 0.500 0.000 0.000
Se 0.000 0.500 0.000
Hg 0.500 0.500 0.500
N 0.000 0.000 0.500

Properties
The value obtained for the total DFT energy (no corrections) is -3.569 eV per atom. The value obtained for the calculated volume is 19.8 A^3/atom. For the density of states at the Fermi level, the calculation gives 5.89 states/eV/f.u. The formation energy (no corrections) comes out at 0.299 eV per atom. The value obtained for the spin magnetization is 0.0 μB per formula unit. For the energy relative to the lowest polymorph listed for this composition, the calculation gives 0 meV per atom.



Computed, not measured: a relaxed structure of AlHgSe2N at the PBE level of DFT.

Lattice parameters (Å, degrees): 5.400 5.400 4.088 90.00 90.00 90.00
Each line ends with the local moment (μB).
Sites, in units of the cell vectors:
Al 0.500 0.500 0.500  -0.01
N 0.000 0.000 0.500  1.04
Se 0.000 0.500 0.000  0.12
Se 0.500 0.000 0.000  0.12
Hg 0.000 0.000 0.000  0.07

Properties
The value obtained for the total DFT energy (no corrections) is -2.697 eV per atom. The value obtained for the calculated volume is 23.8 A^3/atom. For the density of states at the Fermi level, the calculation gives 3.34 states/eV/f.u. The formation energy (no corrections) comes out at 1.171 eV per atom. The value obtained for the spin magnetization is 1.8 μB per formula unit. For the energy relative to the lowest polymorph listed for this composition, the calculation gives 872 meV per atom.



Computed, not measured: a relaxed structure of AlHgSeN2 at the PBE level of DFT.

Lattice parameters (Å, degrees): 4.184 4.184 6.201 90.00 90.00 90.00
Each line ends with the local moment (μB).
Sites, in units of the cell vectors:
Se 0.000 0.000 0.500  0.13
N 0.500 0.000 0.000  1.06
N 0.000 0.500 0.000  1.06
Hg 0.000 0.000 0.000  0.14
Al 0.500 0.500 0.500  0.00

Properties
The value obtained for the total DFT energy (no corrections) is -3.070 eV per atom. The value obtained for the calculated volume is 21.7 A^3/atom. For the density of states at the Fermi level, the calculation gives 1.50 states/eV/f.u. The formation energy (no corrections) comes out at 1.766 eV per atom. The value obtained for the spin magnetization is 3.3 μB per formula unit. For the energy relative to the lowest polymorph listed for this composition, the calculation gives 1051 meV per atom.



Computed, not measured: a relaxed structure of Sm12Al4HgN3 at the PBE level of DFT.

Lattice parameters (Å, degrees): 8.824 8.824 8.824 109.47 109.47 109.47
Sites, in units of the cell vectors:
Sm 0.750 0.250 0.500
Sm 0.725 0.725 0.000
Sm 0.500 0.750 0.250
N 0.500 0.000 0.500
Sm 0.275 0.275 0.000
Al 0.500 0.500 0.500
Sm 0.250 0.750 0.500
Sm 0.500 0.250 0.750
Sm 0.000 0.725 0.725
Sm 0.000 0.275 0.275
Sm 0.725 0.000 0.725
Sm 0.750 0.500 0.250
N 0.000 0.500 0.500
Al 0.000 0.000 0.500
Al 0.500 0.000 0.000
N 0.500 0.500 0.000
Hg 0.000 0.000 0.000
Sm 0.250 0.500 0.750
Sm 0.275 0.000 0.275
Al 0.000 0.500 0.000

Properties
The value obtained for the total DFT energy (no corrections) is -5.323 eV per atom. The value obtained for the calculated volume is 26.4 A^3/atom. For the density of states at the Fermi level, the calculation gives 18.58 states/eV/f.u. The formation energy (no corrections) comes out at -0.479 eV per atom. The value obtained for the spin magnetization is 0.0 μB per formula unit.